Density functional theory data (GGA-PBE) for crystalline PmNdNiSb at its relaxed geometry.

Computed properties:
total moment = 0.189 μB per atom
energy relative to the elements, uncorrected = -460 meV per atom

abc: 5.2406 5.2406 5.2406
angles: 60.00 60.00 60.00
Element x y z (fractional)
Pm (0.0000, 0.0000, 0.0000)
Sb (0.7500, 0.7500, 0.7500)
Nd (0.5000, 0.5000, 0.5000)
Ni (0.2500, 0.2500, 0.2500)